A relaxed structure of Fe5H6Rh, computed with PBE.

Crystal system ... monoclinic
Space-group type ... C2/m (12)
Size of the total moment ... 0.965 μB per atom

The structure in POSCAR format:
```
Fe5H6Rh
1.0
2.3422 -4.0672 0.0000
2.3422 4.0672 0.0000
-1.5699 0.0000 4.4047
Fe H Rh
5 6 1
Direct
0.0000 0.0000 0.0000
0.1664 0.8336 0.5000
0.3294 0.6706 0.0000
0.6706 0.3294 0.0000
0.8336 0.1664 0.5000
0.0719 0.4127 0.2407
0.2420 0.2420 0.7564
0.4127 0.0719 0.2407
0.5873 0.9281 0.7593
0.7580 0.7580 0.2436
0.9281 0.5873 0.7593
0.5000 0.5000 0.5000
```

=====

A relaxed structure of Ca2Zn5Hg, computed with PBE.

Crystal system ... orthorhombic
Space-group type ... Cmcm (63)
Size of the total moment ... 0.000 μB per atom

The structure in POSCAR format:
```
Ca2Zn5Hg
1.0
2.2025 -8.1869 0.0000
2.2025 8.1869 0.0000
0.0000 0.0000 9.3080
Ca Zn Hg
4 10 2
Direct
0.0000 0.0000 0.0000
0.0000 0.0000 0.5000
0.1983 0.8017 0.7500
0.8017 0.1983 0.2500
0.1868 0.8132 0.1107
0.1868 0.8132 0.3893
0.3436 0.6564 0.0163
0.3436 0.6564 0.4837
0.3898 0.6102 0.7500
0.6102 0.3898 0.2500
0.6564 0.3436 0.5163
0.6564 0.3436 0.9837
0.8132 0.1868 0.6107
0.8132 0.1868 0.8893
0.4467 0.5533 0.2500
0.5533 0.4467 0.7500
```

=====

A relaxed structure of Dy2HoSc3, computed with PBE.

Crystal system ... monoclinic
Space-group type ... C2/m (12)
Energy relative to the lowest polymorph listed for this composition ... 0.138 eV/f.u.
Size of the total moment ... 0.000 μB per atom

The structure in POSCAR format:
```
Dy2HoSc3
1.0
7.9317 -2.6424 0.0000
7.9317 2.6424 0.0000
-5.2848 0.0000 8.1295
Dy Ho Sc
4 2 6
Direct
0.0318 0.0318 0.3459
0.3013 0.3013 0.6543
0.6987 0.6987 0.3457
0.9682 0.9682 0.6541
0.3654 0.3654 0.3462
0.6346 0.6346 0.6538
0.1162 0.1162 0.0985
0.2172 0.2172 0.9020
0.4495 0.4495 0.0987
0.5505 0.5505 0.9013
0.7828 0.7828 0.0980
0.8838 0.8838 0.9015
```

=====

A relaxed structure of MgNb2Zn, computed with PBE.

Crystal system ... cubic
Space-group type ... Fm-3m (225)
Energy relative to the lowest polymorph listed for this composition ... 0.000 eV/f.u.
Size of the total moment ... 0.000 μB per atom

The structure in POSCAR format:
```
MgNb2Zn
1.0
0.0000 3.2657 3.2657
3.2657 0.0000 3.2657
3.2657 3.2657 0.0000
Mg Nb Zn
1 2 1
Direct
0.0000 0.0000 0.0000
0.2500 0.2500 0.2500
0.7500 0.7500 0.7500
0.5000 0.5000 0.5000
```

=====

A relaxed structure of Ga2CuS, computed with PBE.

Crystal system ... tetragonal
ΔE_f (raw) ... -37 meV per atom
Space-group type ... I-42d (122)
Energy relative to the lowest polymorph listed for this composition ... 0.000 eV/f.u.
Size of the total moment ... 0.000 μB per atom

The structure in POSCAR format:
```
Ga2CuS
1.0
-2.9516 2.9516 5.0642
2.9516 -2.9516 5.0642
2.9516 2.9516 -5.0642
Ga Cu S
4 2 2
Direct
0.1147 0.6250 0.9897
0.3750 0.3647 0.4897
0.6353 0.1250 0.0103
0.8750 0.8853 0.5103
0.0000 0.0000 0.0000
0.7500 0.2500 0.5000
0.2500 0.7500 0.5000
0.5000 0.5000 0.0000
```

=====

A relaxed structure of Cs2TlZnHg6, computed with PBE.

Crystal system ... monoclinic
Space-group type ... C2/m (12)
Size of the total moment ... 0.000 μB per atom

The structure in POSCAR format:
```
Cs2TlZnHg6
1.0
5.7353 -5.7257 0.0000
5.7353 5.7257 0.0000
-5.6755 0.0000 5.7787
Cs Tl Zn Hg
2 1 1 6
Direct
0.2500 0.7500 0.0000
0.7500 0.2500 0.0000
0.0000 0.0000 0.5000
0.5000 0.5000 0.5000
0.2631 0.2631 0.0267
0.2631 0.2631 0.4998
0.2632 0.7368 0.5000
0.7368 0.2632 0.5000
0.7369 0.7369 0.5002
0.7369 0.7369 0.9733
```

=====

The records above give, respectively, VASP energy values of -5.818 -1.622 -5.384 -5.413 -3.606 -0.830 eV/atom.